Entry 1:
Compound: TaSb2Cl
Source: the Alexandria database
Functional: PBE-GGA
Structure: relaxed

Output
- Crystal system: cubic
- Size of the total moment: 0.0 μB/cell
- E_form (uncorrected): 1.80 eV per formula unit
- E_tot: -5.04 eV/atom
- Excess energy over the best structure of this formula in the dataset: 2.48 eV per formula unit

a b c (Å): 7.0963 7.0963 7.0963
angles (deg): 90.00 90.00 90.00
With the nearest neighbours (Å) after each atom.
Space group Fm-3m (No. 225)
Asymmetric unit:
Ta 0.0000 0.0000 0.0000  8 Sb 3.07
Sb 0.2500 0.2500 0.2500  4 Cl 3.07, 4 Ta 3.07
Cl 0.0000 0.0000 0.5000  8 Sb 3.07

Entry 2:
Compound: CaCo2I
Source: the Alexandria database
Functional: PBE-GGA
Structure: relaxed

Output
- Crystal system: cubic
- Size of the total moment: 8.0 μB/cell
- E_form (uncorrected): 2.35 eV per formula unit
- E_tot: -3.85 eV/atom
- Excess energy over the best structure of this formula in the dataset: 0.65 eV per formula unit

a b c (Å): 6.5834 6.5834 6.5834
angles (deg): 90.00 90.00 90.00
With the nearest neighbours (Å) after each atom.
Space group Fm-3m (No. 225)
Asymmetric unit:
Ca 0.0000 0.0000 0.0000  8 Co 2.85
Co 0.2500 0.2500 0.2500  4 Ca 2.85, 4 I 2.85
I 0.0000 0.0000 0.5000  8 Co 2.85

Entry 3:
Compound: HOsI2
Source: the Alexandria database
Functional: PBE-GGA
Structure: relaxed

Output
- Crystal system: cubic
- Size of the total moment: 0.0 μB/cell
- E_tot: -3.12 eV/atom
- Excess energy over the best structure of this formula in the dataset: 1.26 eV per formula unit

a b c (Å): 6.6620 6.6620 6.6620
angles (deg): 90.00 90.00 90.00
With the nearest neighbours (Å) after each atom.
Space group Fm-3m (No. 225)
Asymmetric unit:
H 0.0000 0.0000 0.0000  8 I 2.88
Os 0.0000 0.0000 0.5000  8 I 2.88
I 0.2500 0.2500 0.2500  4 H 2.88, 4 Os 2.88

Entry 4:
Compound: RbBiI2O
Source: the Alexandria database
Functional: PBE-GGA
Structure: relaxed

Output
- Crystal system: tetragonal
- Size of the total moment: 0.0 μB/cell
- E_form (uncorrected): 1.64 eV per formula unit
- E_tot: -2.25 eV/atom
- Excess energy over the best structure of this formula in the dataset: 6.14 eV per formula unit

a b c (Å): 6.5237 6.5237 4.2139
angles (deg): 90.00 90.00 90.00
With the nearest neighbours (Å) after each atom.
Space group P4/mmm (No. 123)
Asymmetric unit:
Rb 0.0000 0.0000 0.0000  2 O 2.11
Bi 0.5000 0.5000 0.5000  8 I 3.88, 2 Bi 4.21
I 0.0000 0.5000 0.0000  2 Rb 3.26
O 0.0000 0.0000 0.5000  2 Rb 2.11

Entry 5:
Compound: CsSmAgF6
Source: the Alexandria database
Functional: PBE-GGA
Structure: relaxed

Output
- Crystal system: orthorhombic
- Size of the total moment: 0.0 μB/cell
- E_form (uncorrected): -25.04 eV per formula unit
- E_tot: -4.97 eV/atom

a b c (Å): 7.9719 8.5136 12.1010
angles (deg): 90.00 90.00 90.00
With the nearest neighbours (Å) after each atom.
Space group Imma (No. 74)
Asymmetric unit:
Cs 0.0000 0.2500 0.0491  5 F 3.11-3.37
Sm 0.0000 0.0000 0.5000  6 F 2.25-2.28
Ag 0.2500 0.2500 0.7500  2 F 2.06
F 0.0000 0.2500 0.4329  2 Sm 2.28
F 0.0000 0.2500 0.7921  2 Ag 2.06
F 0.2165 0.0633 0.6106  1 Sm 2.25, 1 Ag 2.33

Entry 6:
Compound: TmURu3
Source: the Alexandria database
Functional: PBE-GGA
Structure: relaxed

Output
- Crystal system: triclinic
- Size of the total moment: 0.0 μB/cell
- Energy relative to the elements: -5.15 kcal/mol of atoms
- E_tot: -8.94 eV/atom

a b c (Å): 5.6399 5.6892 6.6488
angles (deg): 81.19 80.16 60.34
With the nearest neighbours (Å) after each atom.
Space group P1 (No. 1)
Asymmetric unit:
Tm 0.0000 0.0000 0.0000  6 Ru 2.90-3.22, 1 U 3.04
Tm 0.3184 0.3310 0.1240  6 Ru 2.90-3.23, 1 U 3.05
U 0.1594 0.1644 0.5619  4 Ru 2.48-2.60
U 0.6594 0.6654 0.0617  4 Ru 2.43-2.67
Ru 0.0521 0.5794 0.7510  2 U 2.60-2.66, 5 Ru 2.78-2.87
Ru 0.2658 0.7510 0.3731  2 U 2.59-2.67, 5 Ru 2.78-2.87
Ru 0.5496 0.0698 0.7437  1 U 2.48
Ru 0.5539 0.5580 0.7589  1 U 2.43
Ru 0.7638 0.7728 0.3648  1 U 2.43
Ru 0.7682 0.2611 0.3802  1 U 2.48

Entry 7:
Compound: TbPrSmDy
Source: the Alexandria database
Functional: PBE-GGA
Structure: relaxed

Output
- Crystal system: cubic
- Size of the total moment: 0.0 μB/cell
- Energy relative to the elements: 2.89 kcal/mol of atoms
- E_tot: -4.56 eV/atom
- Excess energy over the best structure of this formula in the dataset: 0.43 eV per formula unit

a b c (Å): 8.1237 8.1237 8.1237
angles (deg): 90.00 90.00 90.00
With the nearest neighbours (Å) after each atom.
Space group F-43m (No. 216)
Asymmetric unit:
Tb 0.0000 0.0000 0.0000  4 Sm 3.52, 4 Pr 3.52
Pr 0.2500 0.2500 0.2500  4 Tb 3.52, 4 Dy 3.52
Sm 0.2500 0.2500 0.7500  4 Tb 3.52, 4 Dy 3.52
Dy 0.0000 0.0000 0.5000  4 Pr 3.52, 4 Sm 3.52

Entry 8:
Compound: Nb5GaSn2
Source: the Alexandria database
Functional: PBE-GGA
Structure: relaxed

Output
- Crystal system: tetragonal
- Size of the total moment: 0.0 μB/cell
- Energy relative to the elements: -6.13 kcal/mol of atoms
- E_tot: -7.94 eV/atom

a b c (Å): 10.7182 10.7182 5.2005
angles (deg): 90.00 90.00 90.00
With the nearest neighbours (Å) after each atom.
Space group I4/mcm (No. 140)
Asymmetric unit:
Nb 0.0000 0.5000 0.2500  2 Nb 2.60, 4 Sn 2.87
Nb 0.0706 0.2174 0.0000  2 Ga 2.77, 4 Sn 2.84-3.06, 2 Nb 3.01
Ga 0.0000 0.0000 0.2500  2 Ga 2.60, 8 Nb 2.77
Sn 0.1688 0.3312 0.5000  10 Nb 2.84-3.06

Entry 9:
Compound: Sc3Zn7Cu2
Source: the Alexandria database
Functional: PBE-GGA
Structure: relaxed

Output
- Crystal system: trigonal
- Size of the total moment: 0.0 μB/cell
- Energy relative to the elements: -6.36 kcal/mol of atoms
- E_tot: -3.28 eV/atom

a b c (Å): 5.1967 5.1967 24.9409
angles (deg): 90.00 90.00 120.00
With the nearest neighbours (Å) after each atom.
Space group R-3m (No. 166, hexagonal axes)
Asymmetric unit:
Sc 0.0000 0.0000 0.0000  6 Cu 3.00, 12 Zn 3.31
Sc 0.0000 0.0000 0.1426  12 Zn 3.00-3.09, 3 Sc 3.23
Zn 0.0000 0.0000 0.5000  6 Zn 2.60
Zn 0.0055 0.5028 0.9179  2 Cu 2.53-2.54, 5 Zn 2.56-2.64
Cu 0.0000 0.0000 0.3344  6 Zn 2.53-2.54

Entry 10:
Compound: ErAlF5
Source: the Alexandria database
Functional: PBE-GGA
Structure: relaxed

Output
- Crystal system: monoclinic
- Size of the total moment: 0.0 μB/cell
- E_form (uncorrected): -23.49 eV per formula unit
- E_tot: -5.88 eV/atom

a b c (Å): 8.6733 7.6162 7.0520
angles (deg): 90.00 112.40 90.00
With the nearest neighbours (Å) after each atom.
Space group C2/c (No. 15)
Asymmetric unit:
Er 0.0000 0.0565 0.2500  7 F 2.20-2.35
Al 0.0000 0.5000 0.0000  4 F 1.84-2.04
F 0.0000 0.3653 0.2500  2 Al 2.04
F 0.0073 0.1621 0.9583  2 Er 2.21-2.23
F 0.2271 0.4661 0.6208  1 Al 1.84

Entry 11:
Compound: La4PrNd2Cd
Source: the Alexandria database
Functional: PBE-GGA
Structure: relaxed

Output
- Crystal system: tetragonal
- Size of the total moment: 0.0 μB/cell
- Energy relative to the elements: -0.25 kcal/mol of atoms
- E_tot: -4.38 eV/atom

a b c (Å): 5.9786 5.9786 7.7034
angles (deg): 90.00 90.00 90.00
With the nearest neighbours (Å) after each atom.
Space group P4/mmm (No. 123)
Asymmetric unit:
La 0.0000 0.5000 0.2267  2 Cd 3.46, 4 Nd 3.46-3.66, 1 La 3.49, 2 Pr 3.66
Pr 0.0000 0.0000 0.5000  8 La 3.66, 2 Nd 3.85
Nd 0.0000 0.0000 0.0000  8 La 3.46, 2 Pr 3.85
Nd 0.5000 0.5000 0.5000  8 La 3.66, 2 Cd 3.85
Cd 0.5000 0.5000 0.0000  8 La 3.46, 2 Nd 3.85

Entry 12:
Compound: CuHgTe2
Source: the Alexandria database
Functional: PBE-GGA
Structure: relaxed

Output
- Crystal system: monoclinic
- Size of the total moment: 0.0 μB/cell
- E_form (uncorrected): -0.04 eV per formula unit
- E_tot: -2.68 eV/atom

a b c (Å): 7.9842 3.9042 7.1869
angles (deg): 90.00 106.22 90.00
With the nearest neighbours (Å) after each atom.
Space group C2/m (No. 12)
Asymmetric unit:
Cu 0.0000 0.0000 0.0000  4 Te 2.63
Hg 0.0000 0.5000 0.5000  2 Te 2.80
Te 0.1757 0.5000 0.2122  2 Cu 2.63, 1 Hg 2.80

Entry 13:
Compound: SrYCo2Rh
Source: the Alexandria database
Functional: PBE-GGA
Structure: relaxed

Output
- Crystal system: tetragonal
- Size of the total moment: 3.4 μB/cell
- Energy relative to the elements: 9.93 kcal/mol of atoms
- E_tot: -5.51 eV/atom

a b c (Å): 4.8921 4.8921 4.9860
angles (deg): 90.00 90.00 90.00
With the nearest neighbours (Å) after each atom.
Space group P4/mmm (No. 123)
Asymmetric unit:
Sr 0.0000 0.0000 0.0000  4 Y 3.46, 8 Co 3.49
Y 0.5000 0.5000 0.0000  2 Rh 2.49
Co 0.0000 0.5000 0.5000  2 Rh 2.45
Rh 0.5000 0.5000 0.5000  4 Co 2.45, 2 Y 2.49

Entry 14:
Compound: Cs2HgSb
Source: the Alexandria database
Functional: PBE-GGA
Structure: relaxed

Output
- Crystal system: orthorhombic
- Size of the total moment: 0.0 μB/cell
- E_form (uncorrected): -1.43 eV per formula unit
- E_tot: -1.89 eV/atom
- Excess energy over the best structure of this formula in the dataset: 0.00 eV per formula unit

a b c (Å): 6.4358 11.5210 5.7804
angles (deg): 90.00 90.00 90.00
With the nearest neighbours (Å) after each atom.
Space group Imm2 (No. 44)
Asymmetric unit:
Cs 0.0000 0.1804 0.0000  3 Hg 3.86-4.20, 3 Sb 4.00-4.07, 1 Cs 4.16
Hg 0.0000 0.5000 0.2004  2 Sb 2.89
Sb 0.0000 0.5000 0.7006  2 Hg 2.89

Entry 15:
Compound: Ta2CdHg
Source: the Alexandria database
Functional: PBE-GGA
Structure: relaxed

Output
- Crystal system: monoclinic
- Size of the total moment: 0.0 μB/cell
- Energy relative to the elements: 8.18 kcal/mol of atoms
- E_tot: -5.88 eV/atom
- Excess energy over the best structure of this formula in the dataset: 0.75 eV per formula unit

a b c (Å): 2.9050 4.5488 5.7776
angles (deg): 90.00 90.54 90.00
With the nearest neighbours (Å) after each atom.
Space group P2/m (No. 10)
Asymmetric unit:
Ta 0.0000 0.0000 0.2480  4 Ta 2.87-2.91, 4 Cd 3.05-3.06, 4 Hg 3.06-3.07
Cd 0.5000 0.5000 0.0000  2 Hg 2.89, 2 Cd 2.91, 8 Ta 3.05-3.06
Hg 0.5000 0.5000 0.5000  2 Cd 2.89, 2 Hg 2.91, 8 Ta 3.06-3.07

Entry 16:
Compound: TbHoCoAg
Source: the Alexandria database
Functional: PBE-GGA
Structure: relaxed

Output
- Crystal system: cubic
- Size of the total moment: 1.7 μB/cell
- Energy relative to the elements: -4.12 kcal/mol of atoms
- E_tot: -4.97 eV/atom
- Excess energy over the best structure of this formula in the dataset: 0.25 eV per formula unit

a b c (Å): 6.9877 6.9877 6.9877
angles (deg): 90.00 90.00 90.00
With the nearest neighbours (Å) after each atom.
Space group F-43m (No. 216)
Asymmetric unit:
Tb 0.0000 0.0000 0.0000  4 Co 3.03, 4 Ag 3.03
Ho 0.0000 0.0000 0.5000  4 Co 3.03, 4 Ag 3.03
Co 0.2500 0.2500 0.7500  4 Tb 3.03, 4 Ho 3.03
Ag 0.2500 0.2500 0.2500  4 Tb 3.03, 4 Ho 3.03

Entry 17:
Compound: Pr2ZnGe3Pt4
Source: the Alexandria database
Functional: PBE-GGA
Structure: relaxed

Output
- Crystal system: tetragonal
- Size of the total moment: 0.0 μB/cell
- Energy relative to the elements: -21.19 kcal/mol of atoms
- E_tot: -5.80 eV/atom

a b c (Å): 4.3775 4.3775 10.1663
angles (deg): 90.00 90.00 90.00
With the nearest neighbours (Å) after each atom.
Space group P-4m2 (No. 115)
Asymmetric unit:
Pr 0.0000 0.5000 0.2467  8 Pt 3.32-3.38, 6 Ge 3.33-3.34, 2 Zn 3.33
Zn 0.5000 0.5000 0.0000  4 Pt 2.55
Ge 0.0000 0.0000 0.0000  4 Pt 2.55
Ge 0.0000 0.5000 0.6295  5 Pt 2.46-2.55
Pt 0.0000 0.0000 0.5000  4 Ge 2.55
Pt 0.0000 0.5000 0.8710  3 Ge 2.46-2.55, 2 Zn 2.55
Pt 0.5000 0.5000 0.5000  4 Ge 2.55